Below is LaAlHg2O after structural relaxation, with properties calculated at the GGA-PBE level.

Space-group type: I4mm
Uncorrected energy (eV per atom): -3.724
ρ (g/cm3): 8.90

abc: 7.3463 7.3463 7.3463
angles: 148.35 148.35 45.37
Fractional positions:
La: 0.0498 0.0498 0.0000
Al: 0.4033 0.4033 0.0000
Hg: 0.2564 0.7564 0.5000
Hg: 0.7564 0.2564 0.5000
O: 0.5341 0.5341 0.0000

***

Below is Li8Al2Hg after structural relaxation, with properties calculated at the GGA-PBE level.

Space-group type: C2/m
Uncorrected energy (eV per atom): -2.275
ρ (g/cm3): 2.92

abc: 4.4965 4.4965 10.3970
angles: 102.60 102.60 59.94
Fractional positions:
Li: 0.9101 0.9101 0.7297
Li: 0.2664 0.2664 0.7984
Li: 0.6366 0.6366 0.9094
Li: 0.0898 0.0898 0.2703
Li: 0.3634 0.3634 0.0906
Li: 0.8238 0.8238 0.4715
Li: 0.7336 0.7336 0.2016
Li: 0.1762 0.1762 0.5285
Al: 0.5440 0.5440 0.6314
Al: 0.4560 0.4560 0.3686
Hg: 0.0000 0.0000 0.0000

***

Below is LiAlHg2 after structural relaxation, with properties calculated at the GGA-PBE level.

Space-group type: F-43m
Uncorrected energy (eV per atom): -1.575
ρ (g/cm3): 8.90

abc: 4.8596 4.8596 4.8596
angles: 60.00 60.00 60.00
Fractional positions:
Hg: 0.0000 0.0000 0.0000
Hg: 0.7500 0.7500 0.7500
Al: 0.5000 0.5000 0.5000
Li: 0.2500 0.2500 0.2500

***

Below is Li4MgAl2Hg after structural relaxation, with properties calculated at the GGA-PBE level.

Space-group type: P-4m2
Uncorrected energy (eV per atom): -2.315
ρ (g/cm3): 3.77

abc: 4.5478 4.5478 6.5296
angles: 90.00 90.00 90.00
Fractional positions:
Al: 0.5000 0.0000 0.2413
Al: 0.0000 0.5000 0.7587
Li: 0.5000 0.0000 0.7642
Li: 0.0000 0.0000 0.5000
Li: 0.5000 0.5000 0.0000
Li: 0.0000 0.5000 0.2358
Hg: 0.0000 0.0000 0.0000
Mg: 0.5000 0.5000 0.5000